The following is a PBE calculation of an optimized crystal structure of Li3TbTh2Te6, from the Alexandria database.

abc: 7.482 7.482 7.650
angles: 99.37 99.37 120.00
Atoms (fractional coordinates):
Li 0.000 0.000 0.000
Li 0.332 0.668 0.000
Li 0.668 0.332 0.000
Tb 0.500 0.500 0.500
Th 0.166 0.834 0.500
Th 0.834 0.166 0.500
Te 0.083 0.411 0.234
Te 0.260 0.260 0.766
Te 0.411 0.083 0.234
Te 0.589 0.917 0.766
Te 0.740 0.740 0.234
Te 0.917 0.589 0.766

The value obtained for the electronic total energy is -57.846 eV per cell. The calculation puts the uncorrected formation energy at -1.15 eV per atom. Its spin magnetization is 0.000 μB/f.u.